This record from the Alexandria database describes crystalline CoP2Cl at its relaxed geometry. The functional is PBE-GGA.

space-group type: Immm
energy above the most stable polymorph in this dataset: 13.35 kcal/mol of atoms
formation energy without anion corrections: 0.392 eV per atom
electronic total energy: -4.55 eV per atom
size of the total moment: 0.000 μB per atom

Cell: 5.638 5.638 5.638 Å, 151.59 135.30 53.82°
Positions (direct):
Co (0.000, 0.000, 0.000)
P (0.191, 0.691, 0.500)
P (0.809, 0.309, 0.500)
Cl (0.500, 0.500, 0.000)